1.
The following is a PBE calculation of crystalline Ce3Ge6Rh2Au at its relaxed geometry, from Alexandria.

Geometry as CIF:
```
data_Ce3Ge6Rh2Au
_chemical_formula_sum 'Ce3 Ge6 Rh2 Au1'
_symmetry_space_group_name_H-M 'P -3 m 1'
_symmetry_Int_Tables_number 164
_symmetry_space_group_name_Hall '-P 3 2"'
_cell_length_a 6.2390
_cell_length_b 6.2390
_cell_length_c 7.4738
_cell_angle_alpha 90.00
_cell_angle_beta 90.00
_cell_angle_gamma 120.00
loop_
_atom_site_label
_atom_site_type_symbol
_atom_site_fract_x
_atom_site_fract_y
_atom_site_fract_z
_atom_site_occupancy
Ce1 Ce 0.0000 0.0000 0.0000 1
Ce2 Ce 0.3333 0.6667 0.6599 1
Ge1 Ge 0.1949 0.3898 0.2763 1
Rh1 Rh 0.3333 0.6667 0.9770 1
Au1 Au 0.0000 0.0000 0.5000 1
```

The calculation puts the formation enthalpy at 0 K at -0.358 eV per atom. The value obtained for the total moment is 1.02 μB/f.u.

---

2.
The following is a PBE calculation of crystalline Ce2Ge4RhAu3 at its relaxed geometry, from Alexandria.

Geometry as CIF:
```
data_Ce2Ge4RhAu3
_chemical_formula_sum 'Ce2 Ge4 Rh1 Au3'
_symmetry_space_group_name_H-M 'P -4 m 2'
_symmetry_Int_Tables_number 115
_symmetry_space_group_name_Hall 'P -4 -2'
_cell_length_a 4.387
_cell_length_b 4.387
_cell_length_c 10.610
_cell_angle_alpha 90.00
_cell_angle_beta 90.00
_cell_angle_gamma 90.00
loop_
_atom_site_label
_atom_site_type_symbol
_atom_site_fract_x
_atom_site_fract_y
_atom_site_fract_z
_atom_site_occupancy
Ce1 Ce 0.000 0.500 0.239 1
Ge1 Ge 0.000 0.000 0.500 1
Ge2 Ge 0.000 0.500 0.875 1
Ge3 Ge 0.500 0.500 0.500 1
Rh1 Rh 0.500 0.500 0.000 1
Au1 Au 0.000 0.000 0.000 1
Au2 Au 0.000 0.500 0.638 1
```

The calculation puts the formation enthalpy at 0 K at -0.543 eV per atom. The value obtained for the total moment is 1.49 μB/f.u.

---

3.
The following is a PBE calculation of crystalline Ce3Ge6RhAu2 at its relaxed geometry, from Alexandria.

Geometry as CIF:
```
data_Ce3Ge6RhAu2
_chemical_formula_sum 'Ce3 Ge6 Rh1 Au2'
_symmetry_space_group_name_H-M 'P -3 m 1'
_symmetry_Int_Tables_number 164
_symmetry_space_group_name_Hall '-P 3 2"'
_cell_length_a 5.9538
_cell_length_b 5.9538
_cell_length_c 8.2489
_cell_angle_alpha 90.00
_cell_angle_beta 90.00
_cell_angle_gamma 120.00
loop_
_atom_site_label
_atom_site_type_symbol
_atom_site_fract_x
_atom_site_fract_y
_atom_site_fract_z
_atom_site_occupancy
Ce1 Ce 0.0000 0.0000 0.0000 1
Ce2 Ce 0.3333 0.6667 0.6329 1
Ge1 Ge 0.1848 0.3697 0.2963 1
Rh1 Rh 0.0000 0.0000 0.5000 1
Au1 Au 0.3333 0.6667 0.9994 1
```

The calculation puts the formation enthalpy at 0 K at -0.489 eV per atom. The value obtained for the total moment is 1.72 μB/f.u.

---

4.
The following is a PBE calculation of crystalline CeGeSbAu at its relaxed geometry, from Alexandria.

Geometry as CIF:
```
data_CeGeSbAu
_chemical_formula_sum 'Ce2 Ge2 Sb2 Au2'
_symmetry_space_group_name_H-M 'P 4/n m m'
_symmetry_Int_Tables_number 129
_cell_length_a 4.349
_cell_length_b 4.349
_cell_length_c 9.700
_cell_angle_alpha 90.00
_cell_angle_beta 90.00
_cell_angle_gamma 90.00
loop_
_symmetry_equiv_pos_as_xyz
'x,y,z'
'-x,-y,-z'
'-y+1/2,x,z'
'y+1/2,-x,-z'
'-x+1/2,-y+1/2,z'
'x+1/2,y+1/2,-z'
'y,-x+1/2,z'
'-y,x+1/2,-z'
'x+1/2,-y,-z'
'-x+1/2,y,z'
'-y,-x,-z'
'y,x,z'
'-x,y+1/2,-z'
'x,-y+1/2,z'
'y+1/2,x+1/2,-z'
'-y+1/2,-x+1/2,z'
loop_
_atom_site_label
_atom_site_type_symbol
_atom_site_fract_x
_atom_site_fract_y
_atom_site_fract_z
_atom_site_occupancy
Ce1 Ce 0.250 0.250 0.230 1
Ge1 Ge 0.250 0.750 0.000 1
Sb1 Sb 0.250 0.250 0.704 1
Au1 Au 0.250 0.750 0.500 1
```

The value obtained for the total moment is 0.00 μB/f.u. The formation energy without anion corrections comes out at -0.56 eV per atom.